Compound: Tl2ZnCrBr
Source: Alexandria
Functional: PBE
Structure: relaxed

Results
M_tot = 4.85 μB/cell
electronic total energy = -3.135 eV per atom
energy relative to the elements, uncorrected = 0.326 eV per atom

POSCAR file:
```
Tl2ZnCrBr
1.0
5.511 0.000 0.000
0.000 5.017 0.000
0.000 0.000 5.511
Cr Tl Zn Br
1 2 1 1
direct
0.000 0.500 0.000
0.000 0.000 0.500
0.500 0.000 0.000
0.000 0.000 0.000
0.500 0.500 0.500
```